Compound: Pr3PuCo
Source: Alexandria
Functional: PBE-GGA
Structure: relaxed

The structure in CIF format:
```
data_Pr3PuCo
_chemical_formula_sum 'Pr3 Pu1 Co1'
_space_group_name_H-M_alt 'P 1'
_space_group_IT_number 1
_cell_length_a 5.457
_cell_length_b 5.457
_cell_length_c 5.457
_cell_angle_alpha 90.00
_cell_angle_beta 90.00
_cell_angle_gamma 90.00
loop_
_space_group_symop_operation_xyz
'x,y,z'
loop_
_atom_site_label
_atom_site_type_symbol
_atom_site_fract_x
_atom_site_fract_y
_atom_site_fract_z
Pr1 Pr 0.000 0.500 0.000
Pr2 Pr 0.000 0.000 0.500
Pr3 Pr 0.500 0.000 0.000
Co1 Co 0.000 0.000 0.000
Pu1 Pu 0.500 0.500 0.500
```

Summary:
**E**: -0.2547 hartree per atom
**Magnetization**: 1.481 μB/atom
**Mass density**: 7.41 Mg/m³